HoH9C5N2O8: optimized geometry, PBE-GGA.

Space-group type ... C2 (5)
E_tot ... -6.506 eV/atom

Geometry as CIF:
```
data_HoH9C5N2O8
_cell_length_a 6.731
_cell_length_b 6.731
_cell_length_c 6.591
_cell_angle_alpha 73.63
_cell_angle_beta 73.63
_cell_angle_gamma 65.41
_symmetry_space_group_name_H-M 'P 1'
_symmetry_Int_Tables_number 1
loop_
_symmetry_equiv_pos_as_xyz
'x,y,z'
loop_
_atom_site_label
_atom_site_fract_x
_atom_site_fract_y
_atom_site_fract_z
O1 0.758 0.253 0.668
O2 0.546 0.097 0.123
O3 0.007 0.773 0.265
O4 0.920 0.781 0.873
O5 0.747 0.242 0.332
O6 0.903 0.454 0.877
O7 0.219 0.080 0.127
O8 0.227 0.993 0.735
N1 0.234 0.470 0.463
N2 0.530 0.766 0.537
C1 0.834 0.166 0.500
C2 0.853 0.623 0.960
C3 0.196 0.632 0.293
C4 0.377 0.147 0.040
C5 0.368 0.804 0.707
H1 0.395 0.362 0.463
H2 0.347 0.636 0.174
H3 0.110 0.456 0.593
H4 0.638 0.605 0.537
H5 0.364 0.653 0.826
H6 0.373 0.259 0.880
H7 0.985 0.015 0.500
H8 0.741 0.627 0.120
H9 0.544 0.890 0.407
Ho1 0.906 0.094 0.000
```